First-principles (PBE) data for a geometry-optimized La5Ge2Pb structure, as listed in Alexandria.

Results
* symmetry: I4/mcm (140)
* DFT formation energy: -0.682 eV/atom
* total magnetization: 0.0 Bohr magnetons per cell
* raw total energy: -43.0 eV/f.u.

Unit cell a=8.3106 b=8.3106 c=9.3462 alpha=116.40 beta=116.40 gamma=90.00
Element x y z (fractional)
La 0.5214 0.6990 0.7204
La 0.8010 0.9786 0.2796
La 0.0000 0.0000 0.0000
La 0.5000 0.5000 0.0000
La 0.1990 0.0214 0.7204
La 0.6990 0.1990 0.7204
La 0.0214 0.5214 0.7204
La 0.3010 0.8010 0.2796
La 0.9786 0.4786 0.2796
La 0.4786 0.3010 0.2796
Ge 0.1408 0.3592 0.0000
Ge 0.6408 0.1408 0.0000
Ge 0.3592 0.8592 0.0000
Ge 0.8592 0.6408 0.0000
Pb 0.7500 0.7500 0.5000
Pb 0.2500 0.2500 0.5000